Entry 1:
This record from Alexandria via LeMat-Bulk describes crystalline CePuPt2 at its relaxed geometry. The functional is PBE-GGA.

Structure (CIF):
```
data_CePuPt2
_chemical_formula_sum 'Ce3 Pu3 Pt6'
_cell_length_a 4.0831
_cell_length_b 4.0831
_cell_length_c 20.7633
_cell_angle_alpha 90.00
_cell_angle_beta 90.00
_cell_angle_gamma 120.00
_space_group_name_H-M_alt 'R 3 m'
_space_group_IT_number 160
_space_group_name_Hall 'R 3 -2"'
loop_
_atom_site_label
_atom_site_type_symbol
_atom_site_fract_x
_atom_site_fract_y
_atom_site_fract_z
_atom_site_occupancy
Ce1 Ce 0.0000 0.0000 0.0000 1
Pu1 Pu 0.0000 0.0000 0.1710 1
Pt1 Pt 0.0000 0.0000 0.5850 1
Pt2 Pt 0.0000 0.0000 0.7530 1
```

Computed properties:
* calculated formation energy: -3.238 eV/f.u.
* DFT total energy: -8.896 eV/atom
* mass density: 12.9 g/cm³
* DOS at the Fermi energy: 3.655 states/eV per atom



Entry 2:
This record from Alexandria via LeMat-Bulk describes crystalline CePu2Pt at its relaxed geometry. The functional is PBE-GGA.

Structure (CIF):
```
data_CePu2Pt
_chemical_formula_sum 'Ce2 Pu4 Pt2'
_cell_length_a 5.210
_cell_length_b 5.929
_cell_length_c 6.098
_cell_angle_alpha 90.00
_cell_angle_beta 90.00
_cell_angle_gamma 90.00
_space_group_name_H-M_alt 'P m m n'
_space_group_IT_number 59
loop_
_space_group_symop_operation_xyz
'x,y,z'
'-x,-y,-z'
'-x+1/2,-y+1/2,z'
'x+1/2,y+1/2,-z'
'x+1/2,-y,-z'
'-x+1/2,y,z'
'-x,y+1/2,-z'
'x,-y+1/2,z'
loop_
_atom_site_label
_atom_site_type_symbol
_atom_site_fract_x
_atom_site_fract_y
_atom_site_fract_z
_atom_site_occupancy
Ce1 Ce 0.250 0.250 0.079 1
Pu1 Pu 0.250 0.501 0.627 1
Pt1 Pt 0.250 0.750 0.175 1
```

Computed properties:
* calculated formation energy: -1.478 eV/f.u.
* DFT total energy: -10.529 eV/atom
* mass density: 14.5 g/cm³
* DOS at the Fermi energy: 3.009 states/eV per atom
* energy relative to the lowest polymorph listed for this composition: 7 kJ/mol of formula units



Entry 3:
This record from Alexandria via LeMat-Bulk describes crystalline CePuPt at its relaxed geometry. The functional is PBE-GGA.

Structure (CIF):
```
data_CePuPt
_chemical_formula_sum 'Ce4 Pu4 Pt4'
_cell_length_a 6.932
_cell_length_b 6.932
_cell_length_c 6.932
_cell_angle_alpha 90.00
_cell_angle_beta 90.00
_cell_angle_gamma 90.00
_space_group_name_H-M_alt 'F -4 3 m'
_space_group_IT_number 216
_space_group_name_Hall 'F -4 2 3'
loop_
_atom_site_label
_atom_site_type_symbol
_atom_site_fract_x
_atom_site_fract_y
_atom_site_fract_z
_atom_site_occupancy
Ce1 Ce 0.000 0.000 0.000 1
Pu1 Pu 0.000 0.000 0.500 1
Pt1 Pt 0.250 0.250 0.750 1
```

Computed properties:
* calculated formation energy: -1.523 eV/f.u.
* DFT total energy: -9.276 eV/atom
* mass density: 11.6 g/cm³
* DOS at the Fermi energy: 3.339 states/eV per atom
* energy relative to the lowest polymorph listed for this composition: 45 kJ/mol of formula units



Entry 4:
This record from Alexandria via LeMat-Bulk describes crystalline Ce2PuPt2 at its relaxed geometry. The functional is PBE-GGA.

Structure (CIF):
```
data_Ce2PuPt2
_chemical_formula_sum 'Ce8 Pu4 Pt8'
_cell_length_a 4.032
_cell_length_b 27.712
_cell_length_c 4.280
_cell_angle_alpha 90.00
_cell_angle_beta 90.00
_cell_angle_gamma 90.00
_space_group_name_H-M_alt 'C m c m'
_space_group_IT_number 63
_space_group_name_Hall '-C 2c 2'
loop_
_atom_site_label
_atom_site_type_symbol
_atom_site_fract_x
_atom_site_fract_y
_atom_site_fract_z
_atom_site_occupancy
Ce1 Ce 0.000 0.055 0.250 1
Ce2 Ce 0.000 0.257 0.750 1
Pu1 Pu 0.000 0.358 0.250 1
Pt1 Pt 0.000 0.162 0.250 1
Pt2 Pt 0.000 0.463 0.250 1
```

Computed properties:
* calculated formation energy: -3.708 eV/f.u.
* DFT total energy: -8.398 eV/atom
* mass density: 12.7 g/cm³
* DOS at the Fermi energy: 3.506 states/eV per atom
* energy relative to the lowest polymorph listed for this composition: 34 kJ/mol of formula units



Entry 5:
This record from Alexandria via LeMat-Bulk describes crystalline CePu4Pt4 at its relaxed geometry. The functional is PBE-GGA.

Structure (CIF):
```
data_CePu4Pt4
_chemical_formula_sum 'Ce2 Pu8 Pt8'
_cell_length_a 9.099
_cell_length_b 9.099
_cell_length_c 4.278
_cell_angle_alpha 90.00
_cell_angle_beta 90.00
_cell_angle_gamma 90.00
_space_group_name_H-M_alt 'P 42/n'
_space_group_IT_number 86
loop_
_space_group_symop_operation_xyz
'x,y,z'
'-x,-y,-z'
'-y,x+1/2,z+1/2'
'y,-x+1/2,-z+1/2'
'-x+1/2,-y+1/2,z'
'x+1/2,y+1/2,-z'
'y+1/2,-x,z+1/2'
'-y+1/2,x,-z+1/2'
loop_
_atom_site_label
_atom_site_type_symbol
_atom_site_fract_x
_atom_site_fract_y
_atom_site_fract_z
_atom_site_occupancy
Ce1 Ce 0.250 0.250 0.250 1
Pu1 Pu 0.127 0.802 0.748 1
Pt1 Pt 0.057 0.108 0.752 1
```

Computed properties:
* calculated formation energy: -1.034 eV/f.u.
* DFT total energy: -9.829 eV/atom
* mass density: 17.8 g/cm³
* DOS at the Fermi energy: 2.032 states/eV per atom



Entry 6:
This record from Alexandria via LeMat-Bulk describes crystalline Ce8Pu2Pt at its relaxed geometry. The functional is PBE-GGA.

Structure (CIF):
```
data_Ce8Pu2Pt
_chemical_formula_sum 'Ce8 Pu2 Pt1'
_cell_length_a 6.389
_cell_length_b 6.610
_cell_length_c 7.977
_cell_angle_alpha 69.70
_cell_angle_beta 68.16
_cell_angle_gamma 71.95
_space_group_name_H-M_alt 'P -1'
_space_group_IT_number 2
_space_group_name_Hall '-P 1'
loop_
_atom_site_label
_atom_site_type_symbol
_atom_site_fract_x
_atom_site_fract_y
_atom_site_fract_z
_atom_site_occupancy
Ce1 Ce 0.095 0.333 0.347 1
Ce2 Ce 0.114 0.290 0.874 1
Ce3 Ce 0.330 0.831 0.201 1
Ce4 Ce 0.333 0.818 0.715 1
Pu1 Pu 0.431 0.340 0.065 1
Pt1 Pt 0.500 0.500 0.500 1
```

Computed properties:
* calculated formation energy: -1.103 eV/f.u.
* DFT total energy: -7.571 eV/atom
* mass density: 10.4 g/cm³
* DOS at the Fermi energy: 2.278 states/eV per atom